No. 1
Compound: SrDy2MnN4
Source: Alexandria via LeMat-Bulk
Functional: PBE
Structure: optimized geometry

Cell: 3.4525 6.1613 11.7009 Å, 90.00 90.00 106.27°
Last column: magnetic moment on the atom in μB.
Fractional coordinates of all 16 atoms:
Sr 0.0970 0.1939 0.7500  0.02
Sr 0.9030 0.8061 0.2500  0.02
Dy 0.3696 0.7393 0.5429  0.05
Dy 0.6304 0.2607 0.0429  0.05
Dy 0.6304 0.2607 0.4571  0.05
Dy 0.3696 0.7393 0.9571  0.05
Mn 0.8250 0.6501 0.7500  2.17
Mn 0.1750 0.3499 0.2500  2.17
N 0.2599 0.5198 0.1224  0.04
N 0.7401 0.4802 0.6224  0.04
N 0.7401 0.4802 0.8776  0.04
N 0.2599 0.5198 0.3776  0.04
N 0.0000 0.0000 0.5000  0.04
N 0.0000 0.0000 0.0000  0.04
N 0.3995 0.7989 0.7500  -0.03
N 0.6005 0.2011 0.2500  -0.03

## Properties
- uncorrected formation energy (eV per formula unit) = -8.971

***

No. 2
Compound: PmHgRh4
Source: Alexandria via LeMat-Bulk
Functional: PBE
Structure: optimized geometry

Cell: 5.3249 5.3249 5.3249 Å, 60.00 60.00 60.00°
Fractional coordinates of all 6 atoms:
Rh 0.6255 0.6255 0.1235
Rh 0.6255 0.1235 0.6255
Rh 0.6255 0.6255 0.6255
Rh 0.1235 0.6255 0.6255
Hg 0.0000 0.0000 0.0000
Pm 0.2500 0.2500 0.2500

***

No. 3
Compound: MgZnBr
Source: Alexandria via LeMat-Bulk
Functional: PBE
Structure: optimized geometry

Cell: 3.6214 3.6226 14.5953 Å, 90.00 90.00 119.99°
Fractional coordinates of all 6 atoms:
Zn 0.5908 0.1816 0.0000
Zn 0.2815 0.5631 0.5000
Mg 0.6152 0.2304 0.3568
Mg 0.6152 0.2304 0.6432
Br 0.2820 0.5639 0.7572
Br 0.2820 0.5639 0.2428

## Properties
- distance to the lowest polymorph of the same formula (meV/atom) = 0
- uncorrected formation energy (eV per formula unit) = -1.178

***

No. 4
Compound: LaZrRu2
Source: Alexandria via LeMat-Bulk
Functional: PBE
Structure: optimized geometry

Cell: 4.8985 4.8985 9.2523 Å, 74.65 74.65 90.00°
Fractional coordinates of all 8 atoms:
Ru 0.4685 0.1250 0.2500
Ru 0.2815 0.6250 0.2500
Ru 0.3750 0.5315 0.7500
Ru 0.8750 0.7185 0.7500
Zr 0.5000 0.5000 0.0000
Zr 0.2500 0.7500 0.5000
La 0.0000 0.0000 0.0000
La 0.7500 0.2500 0.5000

***

No. 5
Compound: Sr2Zn2Au5
Source: Alexandria via LeMat-Bulk
Functional: PBE
Structure: optimized geometry

Cell: 4.6489 4.6489 9.2799 Å, 90.00 90.00 90.00°
Fractional coordinates of all 9 atoms:
Sr 0.0000 0.0000 0.0000
Sr 0.0000 0.0000 0.5000
Zn 0.5000 0.5000 0.1372
Zn 0.5000 0.5000 0.8628
Au 0.5000 0.0000 0.2661
Au 0.5000 0.0000 0.7339
Au 0.0000 0.5000 0.2661
Au 0.0000 0.5000 0.7339
Au 0.5000 0.5000 0.5000

***

No. 6
Compound: BaPaPd
Source: Alexandria via LeMat-Bulk
Functional: PBE
Structure: optimized geometry

Cell: 4.3522 4.3522 10.1806 Å, 90.00 90.00 90.00°
Fractional coordinates of all 6 atoms:
Pd 0.5000 0.0000 0.7031
Pd 0.0000 0.5000 0.2969
Ba 0.5000 0.0000 0.1624
Ba 0.0000 0.5000 0.8376
Pa 0.5000 0.5000 0.5000
Pa 0.0000 0.0000 0.5000

***

No. 7
Compound: AlTe2Cl
Source: Alexandria via LeMat-Bulk
Functional: PBE
Structure: optimized geometry

Cell: 4.1086 4.1084 8.6137 Å, 90.00 90.00 90.00°
Fractional coordinates of all 4 atoms:
Te 0.0000 0.0000 0.0331
Te 0.5000 0.5000 0.1307
Al 0.0000 0.0000 0.6774
Cl 0.5000 0.5000 0.6587

## Properties
- distance to the lowest polymorph of the same formula (meV/atom) = 470
- uncorrected formation energy (eV per formula unit) = -0.376

***

No. 8
Compound: Pr2ErC2Br2
Source: Alexandria via LeMat-Bulk
Functional: PBE
Structure: optimized geometry

Cell: 4.5349 4.5349 8.5076 Å, 105.46 105.46 90.00°
Fractional coordinates of all 7 atoms:
Pr 0.3993 0.3993 0.7986
Pr 0.6007 0.6007 0.2014
Er 0.0000 0.0000 0.0000
C 0.0000 0.5000 0.0000
C 0.5000 0.0000 0.0000
Br 0.1888 0.1888 0.3775
Br 0.8112 0.8112 0.6225

## Properties
- uncorrected formation energy (eV per formula unit) = -4.719

***

No. 9
Compound: Ba6InRhAu
Source: Alexandria via LeMat-Bulk
Functional: PBE
Structure: optimized geometry

Cell: 8.2270 8.2270 7.6860 Å, 90.00 90.00 60.00°
Fractional coordinates of all 9 atoms:
Ba 0.0179 0.3473 0.2664
Ba 0.3473 0.0179 0.7336
Ba 0.6347 0.3474 0.7335
Ba 0.0178 0.6348 0.7336
Ba 0.3473 0.6347 0.2664
Ba 0.6348 0.0179 0.2664
In 0.0000 0.0000 0.0000
Rh 0.3333 0.3333 0.5000
Au 0.6666 0.6667 0.5000

***

No. 10
Compound: PIrWS2
Source: Alexandria via LeMat-Bulk
Functional: PBE
Structure: optimized geometry

Cell: 4.5617 4.5617 4.4910 Å, 90.00 90.00 90.00°
Fractional coordinates of all 5 atoms:
P 0.0000 0.0000 0.5000
S 0.0000 0.5000 0.0000
S 0.5000 0.0000 0.0000
Ir 0.0000 0.0000 0.0000
W 0.5000 0.5000 0.5000

## Properties
- distance to the lowest polymorph of the same formula (meV/atom) = 267
- uncorrected formation energy (eV per formula unit) = 6.741

***

No. 11
Compound: Y3Ho7Th
Source: Alexandria via LeMat-Bulk
Functional: PBE
Structure: optimized geometry

Cell: 9.8456 9.8456 13.1830 Å, 100.94 100.94 138.66°
Fractional coordinates of all 22 atoms:
Y 0.9997 0.4997 0.7497
Y 0.0000 0.0000 0.0000
Y 0.0000 0.0000 0.5000
Y 0.5003 0.0003 0.2503
Y 0.4997 0.9997 0.7497
Y 0.0003 0.5003 0.2503
Ho 0.0870 0.9133 0.2499
Ho 0.0867 0.9130 0.7501
Ho 0.1175 0.4403 0.5269
Ho 0.1176 0.4406 0.0272
Ho 0.5594 0.8824 0.9728
Ho 0.5597 0.8825 0.4731
Ho 0.4995 0.4995 0.7499
Ho 0.5005 0.5005 0.2501
Ho 0.4406 0.1176 0.0272
Ho 0.4403 0.1175 0.5269
Ho 0.8824 0.5594 0.9728
Ho 0.8825 0.5597 0.4731
Ho 0.9133 0.0870 0.2499
Ho 0.9130 0.0867 0.7501
Th 0.5000 0.5000 0.0000
Th 0.5000 0.5000 0.5000

## Properties
- distance to the lowest polymorph of the same formula (meV/atom) = 0

***

No. 12
Compound: FeAgGe
Source: Alexandria via LeMat-Bulk
Functional: PBE
Structure: optimized geometry

Cell: 5.3492 4.7850 5.4478 Å, 74.07 60.60 56.02°
Last column: magnetic moment on the atom in μB.
Fractional coordinates of all 6 atoms:
Fe 0.7500 0.5000 0.5000  1.37
Fe 0.2500 0.5000 0.5000  1.37
Ag 0.7991 0.4019 0.0000  -0.01
Ag 0.2009 0.5981 0.0000  -0.01
Ge 0.7465 0.0000 0.5070  -0.08
Ge 0.2535 0.0000 0.4930  -0.08

## Properties
- distance to the lowest polymorph of the same formula (meV/atom) = 72

***

| no. | total DFT energy (no corrections) (eV for the cell shown) |
| --- | --- |
| 1 | -124.66 |
| 2 | -36.42 |
| 3 | -11.44 |
| 4 | -60.47 |
| 5 | -26.79 |
| 6 | -34.04 |
| 7 | -12.25 |
| 8 | -40.63 |
| 9 | -27.61 |
| 10 | -28.74 |
| 11 | -114.16 |
| 12 | -30.77 |